Density functional theory data (PBE) for La4SiSe2S after structural relaxation.

Values from the calculation:
E_form (uncorrected): -14.0 eV/f.u.
uncorrected energy: -50.2 eV/cell

a b c (Å): 7.4141 4.3073 7.5173
angles (deg): 90.00 109.42 90.00
Fractional coordinates of all 8 atoms:
1 La 0.2458 0.0000 0.2383
2 La 0.2528 0.5000 0.7634
3 La 0.7472 0.5000 0.2366
4 La 0.7542 0.0000 0.7617
5 Si 0.0000 0.5000 0.0000
6 Se 0.0000 0.0000 0.5000
7 Se 0.5000 0.5000 0.5000
8 S 0.5000 0.0000 0.0000